VASP calculation (GGA+U) on a relaxed structure of LaVN2F.

a b c (Å): 3.986 3.986 3.959
angles (deg): 90.00 90.00 90.00
Sites, in units of the cell vectors:
V  0.000  0.000  0.000
N  0.000  0.500  0.000
N  0.500  0.000  0.000
La  0.500  0.500  0.500
F  0.000  0.000  0.500

Results
**N(E_F)**: 1.07 states/eV/cell
**Raw total energy**: -37.72 eV/f.u.
**ρ**: 6.3 g/cm3
**Total magnetization**: 1.0 μB per formula unit